This record from the Alexandria database describes an optimized crystal structure of KInP2. The functional is GGA-PBE.

a = 9.482 Å, b = 9.482 Å, c = 9.482 Å
α = 148.09°, β = 148.09°, γ = 45.75°
Positions (direct):
K 0.000 0.000 0.000
K 0.750 0.250 0.500
In 0.250 0.750 0.500
In 0.500 0.500 0.000
P 0.295 0.625 0.170
P 0.375 0.545 0.670
P 0.455 0.125 0.830
P 0.875 0.705 0.330

=====

This record from the Alexandria database describes an optimized crystal structure of KInP2. The functional is GGA-PBE.

a = 6.734 Å, b = 6.734 Å, c = 4.134 Å
α = 90.10°, β = 90.10°, γ = 34.67°
Positions (direct):
K 0.000 0.000 0.000
In 0.299 0.299 0.500
P 0.640 0.640 0.501
P 0.722 0.722 0.001

=====

This record from the Alexandria database describes an optimized crystal structure of KInP2. The functional is GGA-PBE.

a = 5.638 Å, b = 5.638 Å, c = 5.638 Å
α = 134.64°, β = 134.64°, γ = 66.09°
Positions (direct):
K 0.000 0.000 0.000
In 0.750 0.250 0.500
P 0.250 0.750 0.500
P 0.500 0.500 0.000

=====

| no. | total moment (μB/f.u.) | total DFT energy (no corrections) (eV/atom) | E_form (kcal/mol of atoms) |
| --- | --- | --- | --- |
| 1 | 0.00 | -3.575 | 2.05 |
| 2 | 0.00 | -3.768 | -2.40 |
| 3 | 0.00 | -3.233 | 9.95 |